This record from Alexandria describes BaTa2SiF after structural relaxation. The functional is PBE.

Cell lengths 4.455, 4.455, 5.166 Å; angles 90.00, 90.00, 90.00 degrees
Space group P4/mmm (No. 123)
Asymmetric unit:
Ba  0.000  0.000  0.000 [1 per cell]
Ta  0.000  0.500  0.500 [2 per cell]
Si  0.500  0.500  0.000 [1 per cell]
F  0.000  0.000  0.500 [1 per cell]

Calculated values
- Total DFT energy (no corrections): -6.089 eV/atom
- Formation energy (no corrections): 0.495 eV per atom


This record from Alexandria describes BaTiSi2F after structural relaxation. The functional is PBE.

Cell lengths 5.067, 5.067, 4.320 Å; angles 90.00, 90.00, 90.00 degrees
Space group P4/mmm (No. 123)
Asymmetric unit:
Ba  0.000  0.000  0.000 [1 per cell]
Ti  0.500  0.500  0.500 [1 per cell]
Si  0.000  0.500  0.500 [2 per cell]
F  0.500  0.500  0.000 [1 per cell]

Calculated values
- Total DFT energy (no corrections): -5.285 eV/atom
- Formation energy (no corrections): -0.778 eV per atom


This record from Alexandria describes BaTiSiF2 after structural relaxation. The functional is PBE.

Cell lengths 4.387, 4.387, 6.502 Å; angles 90.00, 90.00, 90.00 degrees
Space group P4/mmm (No. 123)
Asymmetric unit:
Ba  0.000  0.000  0.000 [1 per cell]
Ti  0.500  0.500  0.000 [1 per cell]
Si  0.000  0.000  0.500 [1 per cell]
F  0.000  0.500  0.500 [2 per cell]

Calculated values
- Total DFT energy (no corrections): -4.013 eV/atom
- Formation energy (no corrections): -0.216 eV per atom


This record from Alexandria describes BaTl2SiF8 after structural relaxation. The functional is PBE.

Cell lengths 4.711, 6.350, 7.544 Å; angles 90.08, 90.03, 93.34 degrees
Space group P-1 (No. 2)
Asymmetric unit:
Ba  0.000  0.000  0.000 [1 per cell]
Tl  0.499  0.499  0.729 [2 per cell]
Si  0.000  0.000  0.500 [1 per cell]
F  0.122  0.837  0.333 [2 per cell]
F  0.123  0.838  0.667 [2 per cell]
F  0.307  0.149  0.499 [2 per cell]
F  0.483  0.240  0.000 [2 per cell]

Calculated values
- Total DFT energy (no corrections): -5.139 eV/atom
- Formation energy (no corrections): -2.885 eV per atom


This record from Alexandria describes BaSm2F7 after structural relaxation. The functional is PBE.

Cell lengths 7.238, 11.572, 4.379 Å; angles 90.00, 90.00, 90.00 degrees
Space group Cmmm (No. 65)
Asymmetric unit:
Ba  0.000  0.000  0.000 [2 per cell]
Sm  0.000  0.310  0.500 [4 per cell]
F  0.000  0.246  0.000 [4 per cell]
F  0.000  0.500  0.500 [2 per cell]
F  0.187  0.140  0.500 [8 per cell]

Calculated values
- Total DFT energy (no corrections): -6.232 eV/atom
- Formation energy (no corrections): -3.786 eV per atom


This record from Alexandria describes Ba2SmTlF8 after structural relaxation. The functional is PBE.

Cell lengths 6.080, 6.080, 12.406 Å; angles 90.00, 90.00, 90.00 degrees
Space group I-4m2 (No. 119)
Asymmetric unit:
Ba  0.000  0.000  0.000 [2 per cell]
Ba  0.000  0.500  0.250 [2 per cell]
Sm  0.000  0.500  0.750 [2 per cell]
Tl  0.000  0.000  0.500 [2 per cell]
F  0.220  0.263  0.861 [16 per cell]

Calculated values
- Total DFT energy (no corrections): -5.753 eV/atom
- Formation energy (no corrections): -3.595 eV per atom


Which of these has the lowest formation energy (no corrections)? BaSm2F7


Among the records above, which one has the highest formation energy (no corrections)? BaTa2SiF


Look up the total DFT energy (no corrections) of the second one. -5.285 eV/atom


Number 5 is which compound? BaSm2F7